A relaxed structure of Cu4W, computed with PBE.

Unit cell a=2.6281 b=2.6281 c=18.6329 alpha=90.00 beta=90.00 gamma=90.00
Closest atoms and distances in Å follow each position.
Space group I4/mmm (No. 139)
One atom of each set of equivalent atoms:
Cu: 0.0000 0.0000 0.1081  8 Cu 2.57-2.63, 4 W 2.74
Cu: 0.0000 0.0000 0.2969  12 Cu 2.55-2.63
W: 0.0000 0.0000 0.5000  4 W 2.63, 8 Cu 2.74

- N(E_F): 4.6 states/eV/cell
- Size of the total moment: 0.00 μB/atom
- Volume: 12.87 Å³ per atom
- Energy of formation from the pure elements: 0.150 eV per atom


A relaxed structure of CuW, computed with PBE.

Unit cell a=3.7856 b=3.7856 c=4.9663 alpha=90.00 beta=90.00 gamma=120.00
Closest atoms and distances in Å follow each position.
Space group P6_3/mmc (No. 194)
One atom of each set of equivalent atoms:
Cu: 0.0000 0.0000 0.0000  2 Cu 2.48, 6 W 2.51
W: 0.3333 0.6667 0.2500  6 Cu 2.51

- N(E_F): 3.4 states/eV/cell
- Size of the total moment: 0.00 μB/atom
- Volume: 15.41 Å³ per atom
- Energy of formation from the pure elements: 1.158 eV per atom